Entry 1:
Here is crystalline Re4TcMo at its relaxed geometry from Alexandria via LeMat-Bulk. Energies are from PBE.

Results
Energy relative to the elements in eV/atom: 0.094
Symmetry: P-1 (2)
Total DFT energy (no corrections) in eV/cell: -140.9
Density of states at the Fermi level in states/eV per atom: 0.76
Crystal system: triclinic

The structure in extended XYZ format:
```
12
Lattice="4.5840 0.0438 -1.4274 -1.1364 5.8015 -3.4081 0.5955 -0.9617 7.2523" Properties=species:S:1:pos:R:3 pbc="T T T"
Re 2.9179 0.8874 2.8222
Re 2.9783 2.0831 0.3021
Re 0.3531 1.3645 -0.1173
Re 2.9151 -0.3219 5.3056
Re 1.1252 3.9962 -0.4054
Re 1.0649 2.8005 2.1147
Re 3.6900 3.5191 2.5341
Re 1.1280 5.2054 -2.8888
Tc 3.0460 3.2749 -2.2192
Tc 0.9971 1.6086 4.6360
Mo 0.2993 0.1258 2.3699
Mo 3.7438 4.7578 0.0469
```


Entry 2:
Here is crystalline ReTcMo2 at its relaxed geometry from Alexandria via LeMat-Bulk. Energies are from PBE.

Results
Energy relative to the elements in eV/atom: 0.093
Symmetry: Pm (6)
Total DFT energy (no corrections) in eV/cell: -44.1
Density of states at the Fermi level in states/eV per atom: 1.03
Crystal system: monoclinic

The structure in extended XYZ format:
```
4
Lattice="-0.1988 -1.4038 -4.1911 -2.4889 -0.9874 0.4488 -2.9179 4.1290 -1.2446" Properties=species:S:1:pos:R:3 pbc="T T T"
Mo -2.9449 4.0968 -1.2325
Mo -1.4351 0.1094 -2.3040
Re -2.6256 1.5882 -0.4074
Tc -4.2213 1.6433 -2.6856
```


Entry 3:
Here is crystalline Re2TcMo at its relaxed geometry from Alexandria via LeMat-Bulk. Energies are from PBE.

Results
Energy relative to the elements in eV/atom: 0.136
Symmetry: R3m (160)
Total DFT energy (no corrections) in eV/cell: -45.5
Density of states at the Fermi level in states/eV per atom: 1.19
Crystal system: trigonal

The structure in extended XYZ format:
```
4
Lattice="9.2915 0.0120 0.0070 8.8764 2.7463 0.0070 8.8764 1.3476 2.3929" Properties=species:S:1:pos:R:3 pbc="T T T"
Mo 20.2949 3.0812 1.8063
Re 26.9960 4.0986 2.4027
Re 6.7545 1.0255 0.6012
Tc 13.5650 2.0595 1.2073
```


Entry 4:
Here is crystalline ReTc3Mo at its relaxed geometry from Alexandria via LeMat-Bulk. Energies are from PBE.

Results
Energy relative to the elements in eV/atom: 1.917
Symmetry: Pm-3m (221)
Total DFT energy (no corrections) in eV/cell: -44.8
Density of states at the Fermi level in states/eV per atom: 1.61
Crystal system: cubic

The structure in extended XYZ format:
```
5
Lattice="4.6134 0.0000 0.0000 0.0000 4.6134 0.0000 0.0000 0.0000 4.6134" Properties=species:S:1:pos:R:3 pbc="T T T"
Re 0.0000 0.0000 0.0000
Mo 2.3067 2.3067 2.3067
Tc 0.0000 2.3067 0.0000
Tc 0.0000 0.0000 2.3067
Tc 2.3067 0.0000 0.0000
```


Entry 5:
Here is crystalline ReTc2Mo at its relaxed geometry from Alexandria via LeMat-Bulk. Energies are from PBE.

Results
Energy relative to the elements in eV/atom: 0.123
Symmetry: P4mm (99)
Total DFT energy (no corrections) in eV/cell: -43.5
Density of states at the Fermi level in states/eV per atom: 1.09
Crystal system: tetragonal

The structure in extended XYZ format:
```
4
Lattice="2.7587 0.0000 0.0000 0.0000 2.7587 0.0000 0.0000 0.0000 7.9262" Properties=species:S:1:pos:R:3 pbc="T T T"
Mo 0.0000 0.0000 3.9580
Re 1.3794 1.3794 6.0145
Tc 0.0000 0.0000 0.0046
Tc 1.3794 1.3794 1.9122
```


Entry 6:
Here is crystalline ReTcMo2 at its relaxed geometry from Alexandria via LeMat-Bulk. Energies are from PBE.

Results
Energy relative to the elements in eV/atom: 0.106
Symmetry: P4mm (99)
Total DFT energy (no corrections) in eV/cell: -44.1
Density of states at the Fermi level in states/eV per atom: 0.90
Crystal system: tetragonal

The structure in extended XYZ format:
```
4
Lattice="3.1229 0.0000 0.0000 0.0000 3.1229 0.0000 0.0000 0.0000 6.3237" Properties=species:S:1:pos:R:3 pbc="T T T"
Mo 0.0000 0.0000 6.2904
Mo 1.5615 1.5615 1.6167
Re 0.0000 0.0000 3.0901
Tc 1.5615 1.5615 4.8120
```


Entry 7:
Here is crystalline ReTc2Mo at its relaxed geometry from Alexandria via LeMat-Bulk. Energies are from PBE.

Results
Energy relative to the elements in eV/atom: 0.132
Symmetry: R3m (160)
Total DFT energy (no corrections) in eV/cell: -43.5
Density of states at the Fermi level in states/eV per atom: 1.17
Crystal system: trigonal

The structure in extended XYZ format:
```
4
Lattice="9.2695 0.0091 0.0053 8.8562 2.7370 0.0053 8.8562 1.3417 2.3856" Properties=species:S:1:pos:R:3 pbc="T T T"
Mo 13.4757 2.0416 1.1968
Re 6.8043 1.0309 0.6043
Tc 0.0062 0.0009 0.0005
Tc 20.1865 3.0584 1.7928
```


Entry 8:
Here is crystalline ReTc2Mo at its relaxed geometry from Alexandria via LeMat-Bulk. Energies are from PBE.

Results
Energy relative to the elements in eV/atom: 0.141
Symmetry: P2/m (10)
Total DFT energy (no corrections) in eV/cell: -43.4
Density of states at the Fermi level in states/eV per atom: 1.05
Crystal system: monoclinic

The structure in extended XYZ format:
```
4
Lattice="-1.1971 2.6609 -3.1468 -2.5209 0.0544 1.0050 0.1167 4.0927 3.4162" Properties=species:S:1:pos:R:3 pbc="T T T"
Mo -1.1996 2.3672 -0.4681
Re -2.4017 4.4407 1.7425
Tc -0.0909 4.0926 3.4952
Tc -0.9944 2.0736 2.1317
```